Material: Nd2PuTcN4
Method: DFT, GGA-PBE
State: relaxed

Properties
**ΔE_f (raw)**: -808.7 meV/atom
**M_tot**: 0.618 μB/atom
**Calculated density**: 9.08 g cm⁻³
**Density of states at the Fermi level**: 32.05 states/eV per cell

Lattice parameters (Å, degrees): 3.4688 11.9416 12.1294 90.00 90.00 90.00
Last column: nearest neighbours and their distance in Å.
Space group Cmcm (No. 63)
Inequivalent atoms, fractional coordinates:
Nd 0.0000 0.1321 0.0410 x8  4 N 2.40-2.66
Pu 0.0000 0.3751 0.2500 x4  4 N 2.51
Tc 0.0000 0.3559 0.7500 x4  4 N 1.98-2.03
N 0.0000 0.0639 0.2500 x4  2 Tc 1.98
N 0.0000 0.2278 0.6395 x8  1 Tc 2.03
N 0.0000 0.5000 0.0000 x4  4 Nd 2.40

Material: CsCaZnSe2
Method: DFT, GGA-PBE
State: relaxed

Properties
**ΔE_f (raw)**: -975.0 meV/atom
**M_tot**: 0.111 μB/atom
**Calculated density**: 3.61 g cm⁻³
**Density of states at the Fermi level**: 4.79 states/eV per cell

Lattice parameters (Å, degrees): 8.3190 5.2356 8.4949 90.00 99.80 90.00
Last column: nearest neighbours and their distance in Å.
Space group P2/c (No. 13)
Inequivalent atoms, fractional coordinates:
Cs 0.0000 0.1719 0.2500 x2  6 Se 3.74-3.80
Ca 0.5000 0.4926 0.7500 x2  4 Se 2.91-2.92
Zn 0.5000 0.0000 0.0000 x2  2 Se 2.45
Se 0.2836 0.3234 0.9654 x4  1 Zn 2.45

Material: Cu3C
Method: DFT, GGA-PBE
State: relaxed

Properties
**Total energy**: -19.28 eV/f.u.
**M_tot**: 0.000 μB/atom
**Calculated density**: 5.99 g cm⁻³
**Density of states at the Fermi level**: 1.65 states/eV per cell

Lattice parameters (Å, degrees): 3.8305 3.8305 3.8305 90.00 90.00 90.00
Last column: nearest neighbours and their distance in Å.
Space group Pm-3m (No. 221)
Inequivalent atoms, fractional coordinates:
Cu 0.0000 0.0000 0.5000 x3  2 C 1.92
C 0.0000 0.0000 0.0000 x1  6 Cu 1.92

Material: Y8P4Se3
Method: DFT, GGA-PBE
State: relaxed

Properties
**ΔE_f (raw)**: -1628.3 meV/atom
**M_tot**: 0.000 μB/atom
**Calculated density**: 4.83 g cm⁻³
**Density of states at the Fermi level**: 12.09 states/eV per cell

Lattice parameters (Å, degrees): 11.3658 11.3895 8.0376 90.00 134.83 90.00
Last column: nearest neighbours and their distance in Å.
Space group C2/m (No. 12)
Inequivalent atoms, fractional coordinates:
Y 0.0000 0.2425 0.0000 x4  3 P 2.76-2.85, 3 Se 2.84-2.93
Y 0.0000 0.2440 0.5000 x4  3 P 2.78-2.84, 2 Se 2.85
Y 0.2357 0.0000 0.9844 x4  2 P 2.76-2.77, 3 Se 2.85-2.92
Y 0.2416 0.0000 0.4892 x4  4 P 2.79-2.85, 1 Se 2.91
P 0.0000 0.0000 0.0000 x2  6 Y 2.76-2.79
P 0.0000 0.0000 0.5000 x2  6 Y 2.76-2.81
P 0.2500 0.2500 0.5000 x4  6 Y 2.84-2.85
Se 0.0000 0.5000 0.0000 x2  6 Y 2.91-2.93
Se 0.2500 0.2500 0.0000 x4  6 Y 2.84-2.85

Copy entry 2 word for word.
Material: CsCaZnSe2
Method: DFT, GGA-PBE
State: relaxed

Properties
**ΔE_f (raw)**: -975.0 meV/atom
**M_tot**: 0.111 μB/atom
**Calculated density**: 3.61 g cm⁻³
**Density of states at the Fermi level**: 4.79 states/eV per cell

Lattice parameters (Å, degrees): 8.3190 5.2356 8.4949 90.00 99.80 90.00
Last column: nearest neighbours and their distance in Å.
Space group P2/c (No. 13)
Inequivalent atoms, fractional coordinates:
Cs 0.0000 0.1719 0.2500 x2  6 Se 3.74-3.80
Ca 0.5000 0.4926 0.7500 x2  4 Se 2.91-2.92
Zn 0.5000 0.0000 0.0000 x2  2 Se 2.45
Se 0.2836 0.3234 0.9654 x4  1 Zn 2.45